No. 1
# PBE NbCo2Ge, relaxed
# Fermi-level density of states = 0.9864 states/eV per atom
# crystal system = tetragonal
# calculated volume = 14.7 A^3/atom
# energy of formation = 0.18 eV per atom
# E_tot = -7.044 eV/atom
data_NbCo2Ge
_chemical_formula_sum 'Nb2 Co4 Ge2'
_cell_length_a 8.7532
_cell_length_b 8.7532
_cell_length_c 8.7532
_cell_angle_alpha 155.25
_cell_angle_beta 155.25
_cell_angle_gamma 35.29
_symmetry_space_group_name_H-M 'P 1'
_symmetry_Int_Tables_number 1
loop_
_symmetry_equiv_pos_as_xyz
'x,y,z'
loop_
_atom_site_label
_atom_site_type_symbol
_atom_site_fract_x
_atom_site_fract_y
_atom_site_fract_z
Nb1 Nb 0.0000 0.0000 0.0000
Nb2 Nb 0.7500 0.2500 0.5000
Co1 Co 0.1602 0.6250 0.0352
Co2 Co 0.3750 0.4102 0.5352
Co3 Co 0.5898 0.1250 0.9648
Co4 Co 0.8750 0.8398 0.4648
Ge1 Ge 0.2500 0.7500 0.5000
Ge2 Ge 0.5000 0.5000 0.0000

No. 2
# PBE NbCoGe2, relaxed
# Fermi-level density of states = 1.0008 states/eV per atom
# crystal system = tetragonal
# calculated volume = 16.3 A^3/atom
# energy of formation = 0.19 eV per atom
# E_tot = -6.411 eV/atom
data_NbCoGe2
_chemical_formula_sum 'Nb2 Co2 Ge4'
_cell_length_a 9.2242
_cell_length_b 9.2242
_cell_length_c 9.2242
_cell_angle_alpha 155.89
_cell_angle_beta 155.89
_cell_angle_gamma 34.35
_symmetry_space_group_name_H-M 'P 1'
_symmetry_Int_Tables_number 1
loop_
_symmetry_equiv_pos_as_xyz
'x,y,z'
loop_
_atom_site_label
_atom_site_type_symbol
_atom_site_fract_x
_atom_site_fract_y
_atom_site_fract_z
Nb1 Nb 0.0000 0.0000 0.0000
Nb2 Nb 0.7500 0.2500 0.5000
Co1 Co 0.2500 0.7500 0.5000
Co2 Co 0.5000 0.5000 0.0000
Ge1 Ge 0.1544 0.6250 0.0294
Ge2 Ge 0.3750 0.4044 0.5294
Ge3 Ge 0.5956 0.1250 0.9706
Ge4 Ge 0.8750 0.8456 0.4706

No. 3
# PBE NbCo2Ge, relaxed
# Fermi-level density of states = 1.2431 states/eV per atom
# crystal system = tetragonal
# calculated volume = 13.4 A^3/atom
# energy of formation = -0.14 eV per atom
# E_tot = -7.367 eV/atom
data_NbCo2Ge
_chemical_formula_sum 'Nb1 Co2 Ge1'
_cell_length_a 3.8658
_cell_length_b 3.8658
_cell_length_c 3.5741
_cell_angle_alpha 90.00
_cell_angle_beta 90.00
_cell_angle_gamma 90.00
_symmetry_space_group_name_H-M 'P 1'
_symmetry_Int_Tables_number 1
loop_
_symmetry_equiv_pos_as_xyz
'x,y,z'
loop_
_atom_site_label
_atom_site_type_symbol
_atom_site_fract_x
_atom_site_fract_y
_atom_site_fract_z
Nb1 Nb 0.0000 0.0000 0.0000
Co1 Co 0.0000 0.5000 0.5000
Co2 Co 0.5000 0.0000 0.5000
Ge1 Ge 0.5000 0.5000 0.0000

No. 4
# PBE NbCoGe3, relaxed
# Fermi-level density of states = 1.4784 states/eV per atom
# crystal system = cubic
# calculated volume = 18.0 A^3/atom
# energy of formation = 0.64 eV per atom
# E_tot = -5.570 eV/atom
data_NbCoGe3
_chemical_formula_sum 'Nb1 Co1 Ge3'
_cell_length_a 4.4828
_cell_length_b 4.4828
_cell_length_c 4.4828
_cell_angle_alpha 90.00
_cell_angle_beta 90.00
_cell_angle_gamma 90.00
_symmetry_space_group_name_H-M 'P 1'
_symmetry_Int_Tables_number 1
loop_
_symmetry_equiv_pos_as_xyz
'x,y,z'
loop_
_atom_site_label
_atom_site_type_symbol
_atom_site_fract_x
_atom_site_fract_y
_atom_site_fract_z
Nb1 Nb 0.0000 0.0000 0.0000
Co1 Co 0.5000 0.5000 0.5000
Ge1 Ge 0.0000 0.5000 0.5000
Ge2 Ge 0.5000 0.0000 0.5000
Ge3 Ge 0.5000 0.5000 0.0000

No. 5
# PBE NbCo2Ge, relaxed
# Fermi-level density of states = 0.9014 states/eV per atom
# crystal system = orthorhombic
# calculated volume = 13.4 A^3/atom
# energy of formation = -0.12 eV per atom
# E_tot = -7.349 eV/atom
data_NbCo2Ge
_chemical_formula_sum 'Nb1 Co2 Ge1'
_cell_length_a 2.8572
_cell_length_b 3.4462
_cell_length_c 5.4522
_cell_angle_alpha 90.00
_cell_angle_beta 90.00
_cell_angle_gamma 90.00
_symmetry_space_group_name_H-M 'P 1'
_symmetry_Int_Tables_number 1
loop_
_symmetry_equiv_pos_as_xyz
'x,y,z'
loop_
_atom_site_label
_atom_site_type_symbol
_atom_site_fract_x
_atom_site_fract_y
_atom_site_fract_z
Nb1 Nb 0.0000 0.0000 0.0000
Co1 Co 0.5000 0.5000 0.2583
Co2 Co 0.5000 0.5000 0.7417
Ge1 Ge 0.0000 0.0000 0.5000

No. 6
# PBE Nb3CoGe, relaxed
# Fermi-level density of states = 0.7991 states/eV per atom
# crystal system = cubic
# energy relative to the lowest polymorph listed for this composition = 0.0000 eV/atom
# calculated volume = 19.2 A^3/atom
# energy of formation = 0.58 eV per atom
# E_tot = -7.807 eV/atom
data_Nb3CoGe
_chemical_formula_sum 'Nb3 Co1 Ge1'
_cell_length_a 4.5781
_cell_length_b 4.5781
_cell_length_c 4.5781
_cell_angle_alpha 90.00
_cell_angle_beta 90.00
_cell_angle_gamma 90.00
_symmetry_space_group_name_H-M 'P 1'
_symmetry_Int_Tables_number 1
loop_
_symmetry_equiv_pos_as_xyz
'x,y,z'
loop_
_atom_site_label
_atom_site_type_symbol
_atom_site_fract_x
_atom_site_fract_y
_atom_site_fract_z
Nb1 Nb 0.0000 0.0000 0.5000
Nb2 Nb 0.0000 0.5000 0.0000
Nb3 Nb 0.5000 0.0000 0.0000
Co1 Co 0.0000 0.0000 0.0000
Ge1 Ge 0.5000 0.5000 0.5000

No. 7
# PBE NbCoGe, relaxed
# Fermi-level density of states = 0.1873 states/eV per atom
# crystal system = orthorhombic
# calculated volume = 14.3 A^3/atom
# energy of formation = -0.48 eV per atom
# E_tot = -7.747 eV/atom
data_NbCoGe
_chemical_formula_sum 'Nb4 Co4 Ge4'
_cell_length_a 6.3508
_cell_length_b 3.7589
_cell_length_c 7.1776
_cell_angle_alpha 90.00
_cell_angle_beta 90.00
_cell_angle_gamma 90.00
_symmetry_space_group_name_H-M 'P 1'
_symmetry_Int_Tables_number 1
loop_
_symmetry_equiv_pos_as_xyz
'x,y,z'
loop_
_atom_site_label
_atom_site_type_symbol
_atom_site_fract_x
_atom_site_fract_y
_atom_site_fract_z
Nb1 Nb 0.0216 0.2500 0.1837
Nb2 Nb 0.4784 0.7500 0.6837
Nb3 Nb 0.5216 0.2500 0.3163
Nb4 Nb 0.9784 0.7500 0.8163
Co1 Co 0.1397 0.2500 0.5622
Co2 Co 0.3603 0.7500 0.0622
Co3 Co 0.6397 0.2500 0.9378
Co4 Co 0.8603 0.7500 0.4378
Ge1 Ge 0.2310 0.7500 0.3816
Ge2 Ge 0.2690 0.2500 0.8816
Ge3 Ge 0.7310 0.7500 0.1184
Ge4 Ge 0.7690 0.2500 0.6184

No. 8
# PBE NbCo3Ge, relaxed
# Fermi-level density of states = 1.3767 states/eV per atom
# crystal system = cubic
# energy relative to the lowest polymorph listed for this composition = 0.9821 eV/atom
# calculated volume = 18.0 A^3/atom
# energy of formation = 1.40 eV per atom
# E_tot = -5.801 eV/atom
data_NbCo3Ge
_chemical_formula_sum 'Nb1 Co3 Ge1'
_cell_length_a 4.4851
_cell_length_b 4.4851
_cell_length_c 4.4851
_cell_angle_alpha 90.00
_cell_angle_beta 90.00
_cell_angle_gamma 90.00
_symmetry_space_group_name_H-M 'P 1'
_symmetry_Int_Tables_number 1
loop_
_symmetry_equiv_pos_as_xyz
'x,y,z'
loop_
_atom_site_label
_atom_site_type_symbol
_atom_site_fract_x
_atom_site_fract_y
_atom_site_fract_z
Nb1 Nb 0.0000 0.0000 0.0000
Co1 Co 0.0000 0.0000 0.5000
Co2 Co 0.0000 0.5000 0.0000
Co3 Co 0.5000 0.0000 0.0000
Ge1 Ge 0.5000 0.5000 0.5000

No. 9
# PBE NbCoGe2, relaxed
# Fermi-level density of states = 0.5874 states/eV per atom
# crystal system = tetragonal
# calculated volume = 15.0 A^3/atom
# energy of formation = -0.31 eV per atom
# E_tot = -6.916 eV/atom
data_NbCoGe2
_chemical_formula_sum 'Nb2 Co2 Ge4'
_cell_length_a 3.7226
_cell_length_b 3.7226
_cell_length_c 8.6786
_cell_angle_alpha 90.00
_cell_angle_beta 90.00
_cell_angle_gamma 90.00
_symmetry_space_group_name_H-M 'P 1'
_symmetry_Int_Tables_number 1
loop_
_symmetry_equiv_pos_as_xyz
'x,y,z'
loop_
_atom_site_label
_atom_site_type_symbol
_atom_site_fract_x
_atom_site_fract_y
_atom_site_fract_z
Nb1 Nb 0.2500 0.2500 0.2403
Nb2 Nb 0.7500 0.7500 0.7597
Co1 Co 0.2500 0.7500 0.5000
Co2 Co 0.7500 0.2500 0.5000
Ge1 Ge 0.2500 0.2500 0.6675
Ge2 Ge 0.2500 0.7500 0.0000
Ge3 Ge 0.7500 0.2500 0.0000
Ge4 Ge 0.7500 0.7500 0.3325

No. 10
# PBE NbCo2Ge, relaxed
# Fermi-level density of states = 0.9697 states/eV per atom
# crystal system = tetragonal
# calculated volume = 13.1 A^3/atom
# energy of formation = -0.16 eV per atom
# E_tot = -7.389 eV/atom
data_NbCo2Ge
_chemical_formula_sum 'Nb1 Co2 Ge1'
_cell_length_a 2.7961
_cell_length_b 2.7961
_cell_length_c 6.6784
_cell_angle_alpha 90.00
_cell_angle_beta 90.00
_cell_angle_gamma 90.00
_symmetry_space_group_name_H-M 'P 1'
_symmetry_Int_Tables_number 1
loop_
_symmetry_equiv_pos_as_xyz
'x,y,z'
loop_
_atom_site_label
_atom_site_type_symbol
_atom_site_fract_x
_atom_site_fract_y
_atom_site_fract_z
Nb1 Nb 0.0000 0.0000 0.0000
Co1 Co 0.5000 0.5000 0.2874
Co2 Co 0.5000 0.5000 0.7126
Ge1 Ge 0.0000 0.0000 0.5000

No. 11
# PBE NbCoGe, relaxed
# Fermi-level density of states = 0.9464 states/eV per atom
# crystal system = tetragonal
# calculated volume = 17.1 A^3/atom
# energy of formation = 0.51 eV per atom
# E_tot = -6.757 eV/atom
data_NbCoGe
_chemical_formula_sum 'Nb1 Co1 Ge1'
_cell_length_a 7.2728
_cell_length_b 7.2728
_cell_length_c 7.2728
_cell_angle_alpha 158.58
_cell_angle_beta 158.58
_cell_angle_gamma 30.48
_symmetry_space_group_name_H-M 'P 1'
_symmetry_Int_Tables_number 1
loop_
_symmetry_equiv_pos_as_xyz
'x,y,z'
loop_
_atom_site_label
_atom_site_type_symbol
_atom_site_fract_x
_atom_site_fract_y
_atom_site_fract_z
Nb1 Nb 0.0000 0.0000 0.0000
Co1 Co 0.8295 0.8295 0.0000
Ge1 Ge 0.6544 0.6544 0.0000

No. 12
# PBE NbCo4Ge, relaxed
# Fermi-level density of states = 1.5703 states/eV per atom
# crystal system = cubic
# calculated volume = 12.3 A^3/atom
# energy of formation = -0.05 eV per atom
# E_tot = -7.233 eV/atom
data_NbCo4Ge
_chemical_formula_sum 'Nb1 Co4 Ge1'
_cell_length_a 4.7128
_cell_length_b 4.7128
_cell_length_c 4.7128
_cell_angle_alpha 60.00
_cell_angle_beta 60.00
_cell_angle_gamma 60.00
_symmetry_space_group_name_H-M 'P 1'
_symmetry_Int_Tables_number 1
loop_
_symmetry_equiv_pos_as_xyz
'x,y,z'
loop_
_atom_site_label
_atom_site_type_symbol
_atom_site_fract_x
_atom_site_fract_y
_atom_site_fract_z
Nb1 Nb 0.0000 0.0000 0.0000
Co1 Co 0.1261 0.6246 0.6246
Co2 Co 0.6246 0.1261 0.6246
Co3 Co 0.6246 0.6246 0.1261
Co4 Co 0.6246 0.6246 0.6246
Ge1 Ge 0.2500 0.2500 0.2500